Material: Pr4Nd
Method: DFT, PBE-GGA
State: optimized geometry

ΔE to the lowest computed polymorph: 6 meV/atom

Unit cell a=3.711 b=3.711 c=13.395 alpha=97.96 beta=97.96 gamma=90.00
Element x y z (fractional)
Pr 0.599 0.599 0.199
Pr 0.200 0.200 0.400
Pr 0.800 0.800 0.600
Pr 0.401 0.401 0.801
Nd 0.000 0.000 0.000